<one>
Density functional theory data (PBE) for B2PPtRhC after structural relaxation.

Geometry as POSCAR:
```
B2PPtRhC
1.0
2.841 0.000 0.000
1.416 3.892 0.000
1.409 1.569 6.471
B P Pt Rh C
2 1 1 1 1
direct
0.000 0.000 0.000 B
0.444 0.404 0.707 B
0.502 0.767 0.226 P
0.274 0.921 0.531 Pt
0.247 0.423 0.079 Rh
0.000 0.227 0.773 C
```

***

<two>
Density functional theory data (PBE) for B2PPtRhC after structural relaxation.

Geometry as POSCAR:
```
B2PPtRhC
1.0
3.879 -1.412 0.000
3.879 1.412 0.000
-0.427 0.000 6.640
B P Pt Rh C
2 1 1 1 1
direct
0.000 0.000 0.000 B
0.214 0.214 0.065 B
0.885 0.885 0.445 P
0.487 0.487 0.700 Pt
0.606 0.606 0.294 Rh
0.405 0.405 0.021 C
```

***

<three>
Density functional theory data (PBE) for B2PPtRhC after structural relaxation.

Geometry as POSCAR:
```
B2PPtRhC
1.0
5.486 -1.662 0.000
5.486 1.662 0.000
-1.077 0.000 4.094
B P Pt Rh C
2 1 1 1 1
direct
0.000 0.000 0.000 B
0.100 0.100 0.425 B
0.814 0.814 0.970 P
0.727 0.727 0.413 Pt
0.444 0.444 0.296 Rh
0.023 0.023 0.668 C
```

***

The data favor <two>; the next most stable structure lies 22 meV per atom above it.

***

<one>
Density functional theory data (PBE) for B2PPtRhC after structural relaxation.

Geometry as POSCAR:
```
B2PPtRhC
1.0
2.824 0.000 0.000
-1.408 3.819 0.000
-0.028 -1.750 6.150
B P Pt Rh C
2 1 1 1 1
direct
0.000 0.000 0.000 B
0.328 0.651 0.232 B
0.421 0.843 0.569 P
0.164 0.334 0.773 Pt
0.674 0.342 0.359 Rh
0.431 0.861 0.056 C
```

***

<two>
Density functional theory data (PBE) for B2PPtRhC after structural relaxation.

Geometry as POSCAR:
```
B2PPtRhC
1.0
2.819 0.000 0.000
1.315 4.054 0.000
0.432 0.022 6.510
B P Pt Rh C
2 1 1 1 1
direct
0.000 0.000 0.000 B
0.238 0.516 0.096 B
0.688 0.485 0.554 P
0.374 0.043 0.664 Pt
0.596 0.782 0.259 Rh
0.421 0.170 0.006 C
```

***

The data favor <one>; the next most stable structure lies 37 meV per atom above it.

***

<one>
Density functional theory data (PBE) for BP2RhC after structural relaxation.

Geometry as POSCAR:
```
BP2RhC
1.0
4.129 -1.470 0.000
4.129 1.470 0.000
-3.033 0.000 5.176
B P Rh C
1 2 1 1
direct
0.000 0.000 0.000 B
0.142 0.142 0.808 P
0.645 0.645 0.268 P
0.956 0.956 0.358 Rh
0.792 0.792 0.925 C
```

***

<two>
Density functional theory data (PBE) for BP2RhC after structural relaxation.

Geometry as POSCAR:
```
BP2RhC
1.0
2.860 0.000 0.000
0.000 3.145 0.000
0.000 0.000 7.238
B P Rh C
1 2 1 1
direct
0.000 0.000 0.000 B
0.000 0.500 0.846 P
0.500 0.000 0.351 P
0.500 0.500 0.590 Rh
0.000 0.000 0.207 C
```

***

The data favor <one>; the next most stable structure lies 44 meV per atom above it.

***

<one>
Density functional theory data (PBE) for BP2RhC after structural relaxation.

Geometry as POSCAR:
```
BP2RhC
1.0
3.850 0.000 0.000
0.000 2.852 0.000
-0.259 0.000 6.516
B P Rh C
1 2 1 1
direct
0.000 0.000 0.000 B
0.361 0.000 0.823 P
0.880 0.500 0.376 P
0.847 0.500 0.741 Rh
0.926 0.000 0.228 C
```

***

<two>
Density functional theory data (PBE) for BP2RhC after structural relaxation.

Geometry as POSCAR:
```
BP2RhC
1.0
4.089 0.000 0.000
0.000 2.863 0.000
-1.482 0.000 4.797
B P Rh C
1 2 1 1
direct
0.000 0.000 0.000 B
0.348 0.000 0.368 P
0.670 0.500 0.000 P
0.116 0.500 0.690 Rh
0.630 0.500 0.361 C
```

***

<three>
Density functional theory data (PBE) for BP2RhC after structural relaxation.

Geometry as POSCAR:
```
BP2RhC
1.0
3.690 -1.511 0.000
3.690 1.511 0.000
-1.417 0.000 5.509
B P Rh C
1 2 1 1
direct
0.000 0.000 0.000 B
0.377 0.377 0.856 P
0.753 0.753 0.393 P
0.068 0.068 0.612 Rh
0.155 0.155 0.242 C
```

***

<four>
Density functional theory data (PBE) for BP2RhC after structural relaxation.

Geometry as POSCAR:
```
BP2RhC
1.0
4.176 0.000 0.000
0.000 2.839 0.000
-1.659 0.000 4.855
B P Rh C
1 2 1 1
direct
0.000 0.000 0.000 B
0.337 0.500 0.959 P
0.758 0.500 0.361 P
0.528 0.000 0.667 Rh
0.000 0.000 0.308 C
```

***

The data favor <three>; the next most stable structure lies 99 meV per atom above it.

***

<one>
Density functional theory data (PBE) for BP2RhC after structural relaxation.

Geometry as POSCAR:
```
BP2RhC
1.0
3.039 0.000 0.000
-1.499 3.811 0.000
-0.045 -1.680 5.480
B P Rh C
1 2 1 1
direct
0.000 0.000 0.000 B
0.412 0.818 0.559 P
0.638 0.276 0.110 P
0.733 0.464 0.757 Rh
0.806 0.609 0.406 C
```

***

<two>
Density functional theory data (PBE) for BP2RhC after structural relaxation.

Geometry as POSCAR:
```
BP2RhC
1.0
3.075 0.000 0.000
-1.112 4.018 0.000
-0.045 -0.162 5.388
B P Rh C
1 2 1 1
direct
0.000 0.000 0.000 B
0.018 0.016 0.625 P
0.568 0.173 0.148 P
0.838 0.511 0.805 Rh
0.573 0.168 0.483 C
```

***

<three>
Density functional theory data (PBE) for BP2RhC after structural relaxation.

Geometry as POSCAR:
```
BP2RhC
1.0
4.000 -1.445 0.000
4.000 1.445 0.000
-0.717 0.000 5.321
B P Rh C
1 2 1 1
direct
0.000 0.000 0.000 B
0.225 0.225 0.195 P
0.519 0.519 0.745 P
0.778 0.778 0.559 Rh
0.844 0.844 0.141 C
```

***

<four>
Density functional theory data (PBE) for BP2RhC after structural relaxation.

Geometry as POSCAR:
```
BP2RhC
1.0
3.081 0.000 0.000
1.527 2.705 0.000
1.001 0.099 7.155
B P Rh C
1 2 1 1
direct
0.000 0.000 0.000 B
0.250 0.287 0.428 P
0.305 0.336 0.082 P
0.486 0.098 0.751 Rh
0.897 0.952 0.481 C
```

***

The data favor <three>; the next most stable structure lies 45 meV per atom above it.

***

<one>
Density functional theory data (PBE) for BP2RhC after structural relaxation.

Geometry as POSCAR:
```
BP2RhC
1.0
4.728 -1.427 0.000
4.728 1.427 0.000
-1.688 0.000 4.412
B P Rh C
1 2 1 1
direct
0.000 0.000 0.000 B
0.155 0.155 0.401 P
0.368 0.368 0.323 P
0.599 0.599 0.735 Rh
0.846 0.846 0.072 C
```

***

<two>
Density functional theory data (PBE) for BP2RhC after structural relaxation.

Geometry as POSCAR:
```
BP2RhC
1.0
3.033 0.000 0.000
0.565 3.781 0.000
1.239 1.452 5.421
B P Rh C
1 2 1 1
direct
0.000 0.000 0.000 B
0.492 0.264 0.884 P
0.929 0.649 0.311 P
0.441 0.861 0.634 Rh
0.439 0.406 0.403 C
```

***

The data favor <one>; the next most stable structure lies 109 meV per atom above it.

***

<one>
Density functional theory data (PBE) for B2PbC after structural relaxation.

Geometry as POSCAR:
```
B2PbC
1.0
0.000 2.975 2.975
2.975 0.000 2.975
2.975 2.975 0.000
B Pb C
2 1 1
direct
0.250 0.250 0.250 B
0.750 0.750 0.750 B
0.000 0.000 0.000 Pb
0.500 0.500 0.500 C
```

***

<two>
Density functional theory data (PBE) for B2PbC after structural relaxation.

Geometry as POSCAR:
```
B2PbC
1.0
-2.317 2.317 4.466
2.317 -2.317 4.466
2.317 2.317 -4.466
B Pb C
4 2 2
direct
0.375 0.219 0.344 B
0.781 0.125 0.156 B
0.875 0.031 0.656 B
0.969 0.625 0.844 B
0.250 0.750 0.500 Pb
0.500 0.500 0.000 Pb
0.000 0.000 0.000 C
0.750 0.250 0.500 C
```

***

The data favor <two>; the next most stable structure lies 1898 meV per atom above it.

***

<one>
Density functional theory data (PBE) for BPbC2 after structural relaxation.

Geometry as POSCAR:
```
BPbC2
1.0
0.000 2.923 2.923
2.923 0.000 2.923
2.923 2.923 0.000
B Pb C
1 1 2
direct
0.000 0.000 0.000 B
0.500 0.500 0.500 Pb
0.250 0.250 0.250 C
0.750 0.750 0.750 C
```

***

<two>
Density functional theory data (PBE) for BPbC2 after structural relaxation.

Geometry as POSCAR:
```
BPbC2
1.0
-2.303 2.303 4.397
2.303 -2.303 4.397
2.303 2.303 -4.397
B Pb C
2 2 4
direct
0.000 0.000 0.000 B
0.750 0.250 0.500 B
0.250 0.750 0.500 Pb
0.500 0.500 0.000 Pb
0.007 0.625 0.882 C
0.375 0.257 0.382 C
0.743 0.125 0.118 C
0.875 0.993 0.618 C
```

***

The data favor <two>; the next most stable structure lies 1912 meV per atom above it.

***

<one>
Density functional theory data (PBE) for BPbC after structural relaxation.

Geometry as POSCAR:
```
BPbC
1.0
3.811 0.000 0.000
0.000 1.469 4.406
0.000 -1.469 4.406
B Pb C
1 1 1
direct
0.000 0.000 0.000 B
0.500 0.273 0.273 Pb
0.000 0.485 0.485 C
```

***

<two>
Density functional theory data (PBE) for BPbC after structural relaxation.

Geometry as POSCAR:
```
BPbC
1.0
3.307 0.000 0.000
-1.014 5.851 0.000
-0.255 -2.577 5.464
B Pb C
2 2 2
direct
0.000 0.000 0.000 B
0.496 0.989 0.000 B
0.388 0.508 0.708 Pb
0.894 0.839 0.344 Pb
0.818 0.220 0.001 C
0.857 0.442 0.992 C
```

***

The data favor <one>; the next most stable structure lies 141 meV per atom above it.

***

<one>
Density functional theory data (PBE) for BPbC after structural relaxation.

Geometry as POSCAR:
```
BPbC
1.0
2.944 0.000 0.000
0.000 3.895 0.000
0.000 0.000 4.336
B Pb C
1 1 1
direct
0.000 0.000 0.000 B
0.500 0.500 0.500 Pb
0.500 0.000 0.000 C
```

***

<two>
Density functional theory data (PBE) for BPbC after structural relaxation.

Geometry as POSCAR:
```
BPbC
1.0
5.812 -2.957 0.000
5.812 2.957 0.000
-0.898 0.000 3.174
B Pb C
2 2 2
direct
0.000 0.000 0.247 B
0.000 0.000 0.753 B
0.526 0.138 0.837 Pb
0.862 0.474 0.163 Pb
0.227 0.773 0.000 C
0.446 0.554 0.000 C
```

***

The data favor <one>; the next most stable structure lies 117 meV per atom above it.